[1]
A plane-wave DFT calculation with GGA-PBEsol was carried out for a geometry-optimized ZnCoF2 structure.

Cell lengths 7.610, 7.610, 7.610 Å; angles 20.13, 20.13, 20.13 degrees
Atoms (fractional coordinates):
Zn 0.000 0.000 0.000
Co 0.500 0.500 0.500
F 0.420 0.420 0.420
F 0.580 0.580 0.580

## Properties
Magnetic moment ... 0.537 μB/atom
VASP energy ... -17.2 eV/cell
Space group ... R-3m
Mass density ... 5.90 Mg/m³

[2]
A plane-wave DFT calculation with GGA-PBEsol was carried out for a geometry-optimized Zr3CoF structure.

Cell lengths 4.775, 4.775, 4.775 Å; angles 90.00, 90.00, 90.00 degrees
Atoms (fractional coordinates):
Zr 0.000 0.000 0.500
Zr 0.000 0.500 0.000
Zr 0.500 0.000 0.000
Co 0.000 0.000 0.000
F 0.500 0.500 0.500

## Properties
Magnetic moment ... 0.002 μB/atom
VASP energy ... -36.4 eV/cell
Space group ... Pm-3m
Mass density ... 5.36 Mg/m³

[3]
A plane-wave DFT calculation with GGA-PBEsol was carried out for a geometry-optimized Fe5Co3 structure.

Cell lengths 6.285, 6.285, 6.285 Å; angles 143.47, 143.47, 52.62 degrees
Atoms (fractional coordinates):
Fe 0.000 0.000 0.000
Fe 0.247 0.247 0.000
Fe 0.375 0.875 0.500
Fe 0.747 0.747 0.000
Fe 0.875 0.375 0.500
Co 0.124 0.624 0.500
Co 0.496 0.496 0.000
Co 0.624 0.124 0.500

## Properties
Polymorph energy (0 for the lowest one) ... 33 meV/atom
Magnetic moment ... 2.237 μB/atom
Formation energy ... 0.0206 eV/atom
Space group ... I4mm
Mass density ... 8.66 Mg/m³

[4]
A plane-wave DFT calculation with GGA-PBEsol was carried out for a geometry-optimized FeCo7 structure.

Cell lengths 4.800, 4.800, 4.800 Å; angles 109.47, 109.47, 109.47 degrees
Atoms (fractional coordinates):
Fe 0.000 0.000 0.000
Co 0.000 0.000 0.500
Co 0.000 0.500 0.000
Co 0.000 0.500 0.500
Co 0.500 0.000 0.000
Co 0.500 0.000 0.500
Co 0.500 0.500 0.000
Co 0.500 0.500 0.500

## Properties
Polymorph energy (0 for the lowest one) ... 64 meV/atom
Magnetic moment ... 1.815 μB/atom
Formation energy ... 0.0901 eV/atom
Space group ... Im-3m
Mass density ... 9.14 Mg/m³

[5]
A plane-wave DFT calculation with GGA-PBEsol was carried out for a geometry-optimized FeCo7 structure.

Cell lengths 4.903, 4.903, 4.903 Å; angles 60.00, 60.00, 60.00 degrees
Atoms (fractional coordinates):
Fe 0.000 0.000 0.000
Co 0.000 0.000 0.500
Co 0.000 0.500 0.000
Co 0.000 0.500 0.500
Co 0.500 0.000 0.000
Co 0.500 0.000 0.500
Co 0.500 0.500 0.000
Co 0.500 0.500 0.500

## Properties
Polymorph energy (0 for the lowest one) ... 1 meV/atom
Magnetic moment ... 1.719 μB/atom
Formation energy ... 0.0267 eV/atom
Space group ... Fm-3m
Mass density ... 9.33 Mg/m³

[6]
A plane-wave DFT calculation with GGA-PBEsol was carried out for a geometry-optimized FeCo7 structure.

Cell lengths 2.449, 2.449, 13.955 Å; angles 90.00, 90.00, 90.00 degrees
Atoms (fractional coordinates):
Fe 0.000 0.000 0.000
Co 0.000 0.000 0.251
Co 0.000 0.000 0.500
Co 0.000 0.000 0.749
Co 0.500 0.500 0.130
Co 0.500 0.500 0.376
Co 0.500 0.500 0.624
Co 0.500 0.500 0.870

## Properties
Polymorph energy (0 for the lowest one) ... 5 meV/atom
Magnetic moment ... 1.709 μB/atom
Formation energy ... 0.0312 eV/atom
Space group ... P4/mmm
Mass density ... 9.29 Mg/m³

[7]
A plane-wave DFT calculation with GGA-PBEsol was carried out for a geometry-optimized Fe5Co3 structure.

Cell lengths 4.849, 4.849, 4.849 Å; angles 109.47, 109.47, 109.47 degrees
Atoms (fractional coordinates):
Fe 0.000 0.000 0.000
Fe 0.000 0.000 0.500
Fe 0.000 0.500 0.000
Fe 0.500 0.000 0.000
Fe 0.500 0.500 0.500
Co 0.000 0.500 0.500
Co 0.500 0.000 0.500
Co 0.500 0.500 0.000

## Properties
Polymorph energy (0 for the lowest one) ... 0 meV/atom
Magnetic moment ... 2.284 μB/atom
Formation energy ... -0.0127 eV/atom
Space group ... Im-3m
Mass density ... 8.63 Mg/m³

[8]
A plane-wave DFT calculation with GGA-PBEsol was carried out for a geometry-optimized Fe7Co structure.

Cell lengths 4.826, 4.826, 4.826 Å; angles 109.47, 109.47, 109.47 degrees
Atoms (fractional coordinates):
Fe 0.000 0.000 0.500
Fe 0.000 0.500 0.000
Fe 0.000 0.500 0.500
Fe 0.500 0.000 0.000
Fe 0.500 0.000 0.500
Fe 0.500 0.500 0.000
Fe 0.500 0.500 0.500
Co 0.000 0.000 0.000

## Properties
Polymorph energy (0 for the lowest one) ... 0 meV/atom
Magnetic moment ... 2.201 μB/atom
Formation energy ... 0.0196 eV/atom
Space group ... Im-3m
Mass density ... 8.63 Mg/m³

[9]
A plane-wave DFT calculation with GGA-PBEsol was carried out for a geometry-optimized Fe4Co3 structure.

Cell lengths 8.256, 8.256, 2.425 Å; angles 95.83, 95.83, 27.61 degrees
Atoms (fractional coordinates):
Fe 0.000 0.000 0.000
Fe 0.144 0.144 0.425
Fe 0.572 0.572 0.715
Fe 0.857 0.857 0.563
Co 0.287 0.287 0.830
Co 0.429 0.429 0.286
Co 0.714 0.714 0.149

## Properties
Polymorph energy (0 for the lowest one) ... 15 meV/atom
Magnetic moment ... 2.176 μB/atom
Formation energy ... 0.0334 eV/atom
Space group ... Cm
Mass density ... 8.72 Mg/m³

[10]
A plane-wave DFT calculation with GGA-PBEsol was carried out for a geometry-optimized Fe4Co3 structure.

Cell lengths 6.086, 6.086, 6.086 Å; angles 37.90, 37.90, 37.90 degrees
Atoms (fractional coordinates):
Fe 0.000 0.000 0.000
Fe 0.142 0.142 0.142
Fe 0.571 0.571 0.571
Fe 0.857 0.857 0.857
Co 0.286 0.286 0.286
Co 0.430 0.430 0.430
Co 0.713 0.713 0.713

## Properties
Polymorph energy (0 for the lowest one) ... 1 meV/atom
Magnetic moment ... 2.198 μB/atom
Formation energy ... 0.0197 eV/atom
Space group ... R3m
Mass density ... 8.70 Mg/m³

[11]
A plane-wave DFT calculation with GGA-PBEsol was carried out for a geometry-optimized Fe5Co3 structure.

Cell lengths 2.783, 6.285, 6.285 Å; angles 52.68, 90.00, 90.00 degrees
Atoms (fractional coordinates):
Fe 0.000 0.000 0.000
Fe 0.000 0.248 0.248
Fe 0.000 0.748 0.748
Fe 0.500 0.127 0.625
Fe 0.500 0.625 0.127
Co 0.000 0.498 0.498
Co 0.500 0.375 0.876
Co 0.500 0.876 0.375

## Properties
Polymorph energy (0 for the lowest one) ... 32 meV/atom
Magnetic moment ... 2.237 μB/atom
Formation energy ... 0.0191 eV/atom
Space group ... Amm2
Mass density ... 8.66 Mg/m³

[12]
A plane-wave DFT calculation with GGA-PBEsol was carried out for a geometry-optimized FeCo7 structure.

Cell lengths 6.785, 6.785, 6.785 Å; angles 33.54, 33.54, 33.54 degrees
Atoms (fractional coordinates):
Fe 0.000 0.000 0.000
Co 0.121 0.121 0.121
Co 0.245 0.245 0.245
Co 0.373 0.373 0.373
Co 0.500 0.500 0.500
Co 0.627 0.627 0.627
Co 0.755 0.755 0.755
Co 0.879 0.879 0.879

## Properties
Polymorph energy (0 for the lowest one) ... 62 meV/atom
Magnetic moment ... 1.811 μB/atom
Formation energy ... 0.0878 eV/atom
Space group ... R-3m
Mass density ... 9.16 Mg/m³

[13]
A plane-wave DFT calculation with GGA-PBEsol was carried out for a geometry-optimized Fe5Co3 structure.

Cell lengths 3.952, 3.952, 5.603 Å; angles 90.00, 90.00, 90.00 degrees
Atoms (fractional coordinates):
Fe 0.000 0.000 0.000
Fe 0.000 0.000 0.500
Fe 0.000 0.500 0.245
Fe 0.500 0.000 0.755
Fe 0.500 0.500 0.500
Co 0.000 0.500 0.746
Co 0.500 0.000 0.254
Co 0.500 0.500 0.000

## Properties
Polymorph energy (0 for the lowest one) ... 37 meV/atom
Magnetic moment ... 2.235 μB/atom
Formation energy ... 0.0241 eV/atom
Space group ... P-4m2
Mass density ... 8.65 Mg/m³

[14]
A plane-wave DFT calculation with GGA-PBEsol was carried out for a geometry-optimized Fe5Co2 structure.

Cell lengths 2.431, 6.082, 6.085 Å; angles 118.16, 97.62, 97.59 degrees
Atoms (fractional coordinates):
Fe 0.000 0.000 0.000
Fe 0.145 0.572 0.857
Fe 0.429 0.716 0.571
Fe 0.571 0.284 0.429
Fe 0.855 0.428 0.143
Co 0.289 0.143 0.715
Co 0.711 0.857 0.285

## Properties
Polymorph energy (0 for the lowest one) ... 21 meV/atom
Magnetic moment ... 2.268 μB/atom
Formation energy ... 0.0228 eV/atom
Space group ... P-1
Mass density ... 8.60 Mg/m³

[15]
A plane-wave DFT calculation with GGA-PBEsol was carried out for a geometry-optimized FeCo7 structure.

Cell lengths 3.466, 3.466, 6.968 Å; angles 90.00, 90.00, 90.00 degrees
Atoms (fractional coordinates):
Fe 0.000 0.000 0.000
Co 0.000 0.000 0.500
Co 0.000 0.500 0.254
Co 0.000 0.500 0.746
Co 0.500 0.000 0.254
Co 0.500 0.000 0.746
Co 0.500 0.500 0.000
Co 0.500 0.500 0.500

## Properties
Polymorph energy (0 for the lowest one) ... 0 meV/atom
Magnetic moment ... 1.707 μB/atom
Formation energy ... 0.0261 eV/atom
Space group ... P4/mmm
Mass density ... 9.29 Mg/m³

[16]
A plane-wave DFT calculation with GGA-PBEsol was carried out for a geometry-optimized Fe7Co structure.

Cell lengths 6.245, 6.245, 6.245 Å; angles 143.10, 143.10, 53.17 degrees
Atoms (fractional coordinates):
Fe 0.000 0.000 0.000
Fe 0.125 0.625 0.500
Fe 0.249 0.249 0.000
Fe 0.375 0.875 0.500
Fe 0.625 0.125 0.500
Fe 0.751 0.751 0.000
Fe 0.875 0.375 0.500
Co 0.500 0.500 0.000

## Properties
Polymorph energy (0 for the lowest one) ... 3 meV/atom
Magnetic moment ... 2.233 μB/atom
Formation energy ... 0.0230 eV/atom
Space group ... I4/mmm
Mass density ... 8.56 Mg/m³

[17]
A plane-wave DFT calculation with GGA-PBEsol was carried out for a geometry-optimized FeCo7 structure.

Cell lengths 8.373, 8.373, 8.373 Å; angles 161.69, 152.65, 33.12 degrees
Atoms (fractional coordinates):
Fe 0.000 0.000 0.000
Co 0.119 0.619 0.500
Co 0.242 0.242 0.000
Co 0.368 0.868 0.500
Co 0.500 0.500 0.000
Co 0.632 0.132 0.500
Co 0.758 0.758 0.000
Co 0.881 0.381 0.500

## Properties
Polymorph energy (0 for the lowest one) ... 53 meV/atom
Magnetic moment ... 1.783 μB/atom
Formation energy ... 0.0789 eV/atom
Space group ... Immm
Mass density ... 9.19 Mg/m³

[18]
A plane-wave DFT calculation with GGA-PBEsol was carried out for a geometry-optimized Fe5Co3 structure.

Cell lengths 2.426, 3.946, 9.144 Å; angles 90.00, 94.73, 90.00 degrees
Atoms (fractional coordinates):
Fe 0.000 0.000 0.000
Fe 0.115 0.500 0.375
Fe 0.373 0.500 0.125
Fe 0.496 0.000 0.502
Fe 0.623 0.500 0.873
Co 0.257 0.000 0.751
Co 0.747 0.000 0.251
Co 0.859 0.500 0.623

## Properties
Polymorph energy (0 for the lowest one) ... 41 meV/atom
Magnetic moment ... 2.225 μB/atom
Formation energy ... 0.0280 eV/atom
Space group ... Pm
Mass density ... 8.68 Mg/m³

[19]
A plane-wave DFT calculation with GGA-PBEsol was carried out for a geometry-optimized Fe7Co structure.

Cell lengths 6.249, 6.249, 2.789 Å; angles 90.00, 90.00, 126.93 degrees
Atoms (fractional coordinates):
Fe 0.000 0.000 0.000
Fe 0.125 0.375 0.500
Fe 0.251 0.749 0.000
Fe 0.375 0.125 0.500
Fe 0.625 0.875 0.500
Fe 0.749 0.251 0.000
Fe 0.875 0.625 0.500
Co 0.500 0.500 0.000

## Properties
Polymorph energy (0 for the lowest one) ... 2 meV/atom
Magnetic moment ... 2.221 μB/atom
Formation energy ... 0.0212 eV/atom
Space group ... Cmmm
Mass density ... 8.58 Mg/m³

[20]
A plane-wave DFT calculation with GGA-PBEsol was carried out for a geometry-optimized Fe2Co3 structure.

Cell lengths 4.626, 4.626, 4.626 Å; angles 50.36, 50.36, 50.36 degrees
Atoms (fractional coordinates):
Fe 0.099 0.099 0.099
Fe 0.901 0.901 0.901
Co 0.296 0.296 0.296
Co 0.500 0.500 0.500
Co 0.704 0.704 0.704

## Properties
Polymorph energy (0 for the lowest one) ... 0 meV/atom
Magnetic moment ... 2.058 μB/atom
Formation energy ... 0.0258 eV/atom
Space group ... R-3m
Mass density ... 8.86 Mg/m³